(1)
First-principles (PBE) data for a geometry-optimized PaBeGeOs structure, as listed in the Alexandria database.

Summary:
The energy relative to the elements comes out at -0.34 eV/atom.

Unit cell a=4.1116 b=4.1116 c=8.3485 alpha=90.00 beta=90.00 gamma=90.00
Sites, in units of the cell vectors:
Pa (0.0000, 0.5000, 0.7459)
Pa (0.5000, 0.0000, 0.2541)
Be (0.0000, 0.5000, 0.3671)
Be (0.5000, 0.0000, 0.6329)
Ge (0.5000, 0.0000, 0.9078)
Ge (0.0000, 0.5000, 0.0922)
Os (0.0000, 0.0000, 0.5000)
Os (0.5000, 0.5000, 0.5000)



(2)
First-principles (PBE) data for a geometry-optimized Pa2Be4Ge3Os structure, as listed in the Alexandria database.

Summary:
The energy relative to the elements comes out at -0.26 eV/atom.

Unit cell a=3.9786 b=3.9786 c=9.5909 alpha=90.00 beta=90.00 gamma=90.00
Sites, in units of the cell vectors:
Pa (0.5000, 0.0000, 0.2591)
Pa (0.0000, 0.5000, 0.7409)
Be (0.5000, 0.5000, 0.0000)
Be (0.0000, 0.0000, 0.0000)
Be (0.5000, 0.0000, 0.6284)
Be (0.0000, 0.5000, 0.3716)
Ge (0.0000, 0.0000, 0.5000)
Ge (0.5000, 0.0000, 0.8680)
Ge (0.0000, 0.5000, 0.1320)
Os (0.5000, 0.5000, 0.5000)



(3)
First-principles (PBE) data for a geometry-optimized Pm2Be3Ge4Os structure, as listed in the Alexandria database.

Summary:
The energy relative to the elements comes out at -0.33 eV/atom.

Unit cell a=4.0747 b=4.0747 c=10.0958 alpha=90.00 beta=90.00 gamma=90.00
Sites, in units of the cell vectors:
Pm (0.5000, 0.0000, 0.2444)
Pm (0.0000, 0.5000, 0.7556)
Be (0.0000, 0.0000, 0.5000)
Be (0.5000, 0.0000, 0.8716)
Be (0.0000, 0.5000, 0.1284)
Ge (0.5000, 0.5000, 0.0000)
Ge (0.0000, 0.0000, 0.0000)
Ge (0.5000, 0.0000, 0.6387)
Ge (0.0000, 0.5000, 0.3613)
Os (0.5000, 0.5000, 0.5000)



(4)
First-principles (PBE) data for a geometry-optimized Pu2Be4Ge3Os structure, as listed in the Alexandria database.

Summary:
The energy relative to the elements comes out at -0.23 eV/atom.

Unit cell a=3.9367 b=3.9367 c=9.7602 alpha=90.00 beta=90.00 gamma=90.00
Last column: magnetic moment on the atom in μB.
Sites, in units of the cell vectors:
Pu (0.5000, 0.0000, 0.2555)  5.18
Pu (0.0000, 0.5000, 0.7445)  5.18
Be (0.5000, 0.5000, 0.0000)  0.00
Be (0.0000, 0.0000, 0.0000)  0.00
Be (0.5000, 0.0000, 0.6302)  0.02
Be (0.0000, 0.5000, 0.3698)  0.02
Ge (0.0000, 0.0000, 0.5000)  -0.04
Ge (0.5000, 0.0000, 0.8673)  -0.06
Ge (0.0000, 0.5000, 0.1327)  -0.06
Os (0.5000, 0.5000, 0.5000)  -0.14



(5)
First-principles (PBE) data for a geometry-optimized BeTcGeOs2 structure, as listed in the Alexandria database.

Summary:
The energy relative to the elements comes out at 1.82 eV/atom.

Unit cell a=4.4997 b=4.5148 c=4.4997 alpha=90.00 beta=90.00 gamma=90.00
Last column: magnetic moment on the atom in μB.
Sites, in units of the cell vectors:
Be (0.5000, 0.5000, 0.5000)  -0.04
Ge (0.0000, 0.0000, 0.0000)  -0.02
Os (0.0000, 0.0000, 0.5000)  0.48
Os (0.5000, 0.0000, 0.0000)  0.41
Tc (0.0000, 0.5000, 0.0000)  1.04



(6)
First-principles (PBE) data for a geometry-optimized ThBeGe2Os2 structure, as listed in the Alexandria database.

Summary:
The energy relative to the elements comes out at -0.27 eV/atom.

Unit cell a=4.3021 b=4.3021 c=5.4770 alpha=90.00 beta=90.00 gamma=90.00
Sites, in units of the cell vectors:
Th (0.0000, 0.0000, 0.5000)
Be (0.0000, 0.0000, 0.0000)
Ge (0.5000, 0.5000, 0.7315)
Ge (0.5000, 0.5000, 0.2685)
Os (0.5000, 0.0000, 0.0000)
Os (0.0000, 0.5000, 0.0000)



(7)
First-principles (PBE) data for a geometry-optimized Th2Be3Ge4Os structure, as listed in the Alexandria database.

Summary:
The energy relative to the elements comes out at -0.32 eV/atom.

Unit cell a=4.1789 b=4.1789 c=9.7793 alpha=90.00 beta=90.00 gamma=90.00
Sites, in units of the cell vectors:
Th (0.5000, 0.0000, 0.2511)
Th (0.0000, 0.5000, 0.7489)
Be (0.0000, 0.0000, 0.5000)
Be (0.5000, 0.0000, 0.8765)
Be (0.0000, 0.5000, 0.1235)
Ge (0.5000, 0.5000, 0.0000)
Ge (0.0000, 0.0000, 0.0000)
Ge (0.5000, 0.0000, 0.6387)
Ge (0.0000, 0.5000, 0.3613)
Os (0.5000, 0.5000, 0.5000)



(8)
First-principles (PBE) data for a geometry-optimized U2Be4Ge3Os structure, as listed in the Alexandria database.

Summary:
The energy relative to the elements comes out at -0.12 eV/atom.

Unit cell a=3.9275 b=3.9275 c=9.6921 alpha=90.00 beta=90.00 gamma=90.00
Last column: magnetic moment on the atom in μB.
Sites, in units of the cell vectors:
U (0.5000, 0.0000, 0.2565)  2.08
U (0.0000, 0.5000, 0.7435)  2.08
Be (0.5000, 0.5000, 0.0000)  0.00
Be (0.0000, 0.0000, 0.0000)  0.01
Be (0.5000, 0.0000, 0.6321)  0.01
Be (0.0000, 0.5000, 0.3679)  0.01
Ge (0.0000, 0.0000, 0.5000)  -0.02
Ge (0.5000, 0.0000, 0.8673)  -0.04
Ge (0.0000, 0.5000, 0.1327)  -0.04
Os (0.5000, 0.5000, 0.5000)  -0.15



(9)
First-principles (PBE) data for a geometry-optimized BeGe3P structure, as listed in the Alexandria database.

Summary:
The energy relative to the elements comes out at 0.57 eV/atom.

Unit cell a=4.4744 b=4.4744 c=4.4744 alpha=90.00 beta=90.00 gamma=90.00
Sites, in units of the cell vectors:
P (0.5000, 0.5000, 0.5000)
Ge (0.0000, 0.5000, 0.0000)
Ge (0.0000, 0.0000, 0.5000)
Ge (0.5000, 0.0000, 0.0000)
Be (0.0000, 0.0000, 0.0000)



(10)
First-principles (PBE) data for a geometry-optimized BeGe3P structure, as listed in the Alexandria database.

Summary:
The energy relative to the elements comes out at 1.02 eV/atom.

Unit cell a=4.7482 b=4.7482 c=4.7482 alpha=90.00 beta=90.00 gamma=90.00
Sites, in units of the cell vectors:
P (0.0000, 0.0000, 0.0000)
Ge (0.0000, 0.5000, 0.0000)
Ge (0.0000, 0.0000, 0.5000)
Ge (0.5000, 0.0000, 0.0000)
Be (0.5000, 0.5000, 0.5000)



(11)
First-principles (PBE) data for a geometry-optimized Be2GeP3 structure, as listed in the Alexandria database.

Summary:
The energy relative to the elements comes out at -0.17 eV/atom.

Unit cell a=6.2805 b=6.2805 c=6.2454 alpha=99.60 beta=99.60 gamma=119.91
Sites, in units of the cell vectors:
Be (0.5982, 0.4339, 0.0080)
Be (0.7560, 0.2612, 0.5076)
Be (0.4339, 0.5982, 0.5080)
Be (0.2612, 0.7560, 0.0076)
Ge (0.0960, 0.9196, 0.5024)
Ge (0.9196, 0.0960, 0.0024)
P (0.0592, 0.2470, 0.4007)
P (0.2470, 0.0592, 0.9007)
P (0.8844, 0.4082, 0.8762)
P (0.4082, 0.8844, 0.3762)
P (0.5322, 0.6990, 0.8764)
P (0.6990, 0.5322, 0.3764)



(12)
First-principles (PBE) data for a geometry-optimized BeGeP3 structure, as listed in the Alexandria database.

Summary:
The energy relative to the elements comes out at 0.68 eV/atom.

Unit cell a=4.2997 b=4.2997 c=4.2997 alpha=90.00 beta=90.00 gamma=90.00
Sites, in units of the cell vectors:
P (0.0000, 0.5000, 0.0000)
P (0.0000, 0.0000, 0.5000)
P (0.5000, 0.0000, 0.0000)
Ge (0.5000, 0.5000, 0.5000)
Be (0.0000, 0.0000, 0.0000)



(13)
First-principles (PBE) data for a geometry-optimized BeGeP3 structure, as listed in the Alexandria database.

Summary:
The energy relative to the elements comes out at 1.40 eV/atom.

Unit cell a=4.6610 b=4.6610 c=4.6610 alpha=90.00 beta=90.00 gamma=90.00
Sites, in units of the cell vectors:
P (0.0000, 0.5000, 0.0000)
P (0.0000, 0.0000, 0.5000)
P (0.5000, 0.0000, 0.0000)
Ge (0.0000, 0.0000, 0.0000)
Be (0.5000, 0.5000, 0.5000)



(14)
First-principles (PBE) data for a geometry-optimized Be3GeP structure, as listed in the Alexandria database.

Summary:
The energy relative to the elements comes out at 0.65 eV/atom.

Unit cell a=4.1298 b=4.1298 c=4.1298 alpha=90.00 beta=90.00 gamma=90.00
Sites, in units of the cell vectors:
P (0.0000, 0.0000, 0.0000)
Ge (0.5000, 0.5000, 0.5000)
Be (0.0000, 0.5000, 0.0000)
Be (0.0000, 0.0000, 0.5000)
Be (0.5000, 0.0000, 0.0000)



(15)
First-principles (PBE) data for a geometry-optimized Be2ReGeP structure, as listed in the Alexandria database.

Summary:
The energy relative to the elements comes out at 1.10 eV/atom.

Unit cell a=3.8326 b=5.1955 c=3.8326 alpha=90.00 beta=90.00 gamma=90.00
Sites, in units of the cell vectors:
Re (0.5000, 0.5000, 0.5000)
Ge (0.0000, 0.5000, 0.0000)
Be (0.0000, 0.0000, 0.5000)
Be (0.5000, 0.0000, 0.0000)
P (0.0000, 0.0000, 0.0000)



(16)
First-principles (PBE) data for a geometry-optimized Be2ReGeP structure, as listed in the Alexandria database.

Summary:
The energy relative to the elements comes out at 1.43 eV/atom.

Unit cell a=3.9495 b=5.2129 c=3.9495 alpha=90.00 beta=90.00 gamma=90.00
Last column: magnetic moment on the atom in μB.
Sites, in units of the cell vectors:
Re (0.5000, 0.5000, 0.5000)  2.21
Ge (0.0000, 0.0000, 0.0000)  0.07
Be (0.0000, 0.0000, 0.5000)  -0.01
Be (0.5000, 0.0000, 0.0000)  -0.02
P (0.0000, 0.5000, 0.0000)  -0.04



(17)
First-principles (PBE) data for a geometry-optimized BeReGe2P structure, as listed in the Alexandria database.

Summary:
The energy relative to the elements comes out at 1.01 eV/atom.

Unit cell a=4.3049 b=4.3239 c=4.3049 alpha=90.00 beta=90.00 gamma=90.00
Sites, in units of the cell vectors:
Re (0.0000, 0.5000, 0.0000)
Ge (0.0000, 0.0000, 0.5000)
Ge (0.5000, 0.0000, 0.0000)
Be (0.0000, 0.0000, 0.0000)
P (0.5000, 0.5000, 0.5000)



(18)
First-principles (PBE) data for a geometry-optimized BeGePS2 structure, as listed in the Alexandria database.

Summary:
The formation energy without anion corrections is 2.05 eV per formula unit.

Unit cell a=4.5848 b=4.5848 c=4.0253 alpha=90.00 beta=90.00 gamma=90.00
Sites, in units of the cell vectors:
P (0.0000, 0.0000, 0.5000)
Ge (0.5000, 0.5000, 0.5000)
S (0.0000, 0.5000, 0.0000)
S (0.5000, 0.0000, 0.0000)
Be (0.0000, 0.0000, 0.0000)



(19)
First-principles (PBE) data for a geometry-optimized BeGePS2 structure, as listed in the Alexandria database.

Summary:
The formation energy without anion corrections is 5.24 eV per formula unit.

Unit cell a=4.6389 b=4.6389 c=4.7614 alpha=90.00 beta=90.00 gamma=90.00
Sites, in units of the cell vectors:
P (0.0000, 0.0000, 0.5000)
Ge (0.0000, 0.0000, 0.0000)
S (0.0000, 0.5000, 0.0000)
S (0.5000, 0.0000, 0.0000)
Be (0.5000, 0.5000, 0.5000)



(20)
First-principles (PBE) data for a geometry-optimized Sc2BeGeP structure, as listed in the Alexandria database.

Summary:
The energy relative to the elements comes out at 0.59 eV/atom.

Unit cell a=5.0552 b=4.6106 c=5.0552 alpha=90.00 beta=90.00 gamma=90.00
Sites, in units of the cell vectors:
Sc (0.0000, 0.0000, 0.5000)
Sc (0.5000, 0.0000, 0.0000)
P (0.0000, 0.5000, 0.0000)
Ge (0.0000, 0.0000, 0.0000)
Be (0.5000, 0.5000, 0.5000)



(21)
First-principles (PBE) data for a geometry-optimized TaBeGe2P structure, as listed in the Alexandria database.

Summary:
The energy relative to the elements comes out at 1.10 eV/atom.

Unit cell a=4.6618 b=4.6851 c=4.6618 alpha=90.00 beta=90.00 gamma=90.00
Sites, in units of the cell vectors:
P (0.0000, 0.0000, 0.0000)
Ge (0.0000, 0.0000, 0.5000)
Ge (0.5000, 0.0000, 0.0000)
Be (0.5000, 0.5000, 0.5000)
Ta (0.0000, 0.5000, 0.0000)



(22)
First-principles (PBE) data for a geometry-optimized BeTcGe2P structure, as listed in the Alexandria database.

Summary:
The energy relative to the elements comes out at 0.81 eV/atom.

Unit cell a=4.7657 b=4.3477 c=4.7657 alpha=90.00 beta=90.00 gamma=90.00
Last column: magnetic moment on the atom in μB.
Sites, in units of the cell vectors:
P (0.5000, 0.5000, 0.5000)  0.48
Ge (0.0000, 0.0000, 0.5000)  0.01
Ge (0.5000, 0.0000, 0.0000)  0.01
Tc (0.0000, 0.0000, 0.0000)  0.56
Be (0.0000, 0.5000, 0.0000)  -0.03



(23)
First-principles (PBE) data for a geometry-optimized PaBe3Ge3 structure, as listed in the Alexandria database.

Summary:
The energy relative to the elements comes out at 0.25 eV/atom.

Unit cell a=6.1496 b=6.1496 c=6.1496 alpha=90.00 beta=90.00 gamma=90.00
Last column: magnetic moment on the atom in μB.
Sites, in units of the cell vectors:
Be (0.0000, 0.2500, 0.5000)  -0.01
Be (0.0000, 0.7500, 0.5000)  -0.01
Be (0.5000, 0.0000, 0.7500)  -0.01
Be (0.7500, 0.5000, 0.0000)  -0.01
Be (0.5000, 0.0000, 0.2500)  -0.01
Be (0.2500, 0.5000, 0.0000)  -0.01
Ge (0.2500, 0.0000, 0.5000)  -0.02
Ge (0.0000, 0.5000, 0.2500)  -0.02
Ge (0.5000, 0.7500, 0.0000)  -0.02
Ge (0.7500, 0.0000, 0.5000)  -0.02
Ge (0.0000, 0.5000, 0.7500)  -0.02
Ge (0.5000, 0.2500, 0.0000)  -0.02
Pa (0.5000, 0.5000, 0.5000)  0.50
Pa (0.0000, 0.0000, 0.0000)  0.50



(24)
First-principles (PBE) data for a geometry-optimized Pa3BeGe2 structure, as listed in the Alexandria database.

Summary:
The energy relative to the elements comes out at -0.31 eV/atom.

Unit cell a=3.8550 b=10.6234 c=11.8679 alpha=90.00 beta=90.00 gamma=90.00
Sites, in units of the cell vectors:
Pa (0.2500, 0.4097, 0.0411)
Pa (0.7500, 0.5903, 0.9589)
Pa (0.7500, 0.9097, 0.4589)
Pa (0.2500, 0.0903, 0.5411)
Pa (0.2500, 0.7453, 0.2098)
Pa (0.7500, 0.2547, 0.7902)
Pa (0.7500, 0.2453, 0.2902)
Pa (0.2500, 0.7547, 0.7098)
Pa (0.2500, 0.4283, 0.3820)
Pa (0.7500, 0.5717, 0.6180)
Pa (0.7500, 0.9283, 0.1180)
Pa (0.2500, 0.0717, 0.8820)
Be (0.2500, 0.1357, 0.1266)
Be (0.7500, 0.8643, 0.8734)
Be (0.7500, 0.6357, 0.3734)
Be (0.2500, 0.3643, 0.6266)
Ge (0.2500, 0.7010, 0.4616)
Ge (0.7500, 0.2990, 0.5384)
Ge (0.7500, 0.2010, 0.0384)
Ge (0.2500, 0.7990, 0.9616)
Ge (0.2500, 0.0239, 0.2932)
Ge (0.7500, 0.9761, 0.7068)
Ge (0.7500, 0.5239, 0.2068)
Ge (0.2500, 0.4761, 0.7932)



(25)
First-principles (PBE) data for a geometry-optimized PaBeGe structure, as listed in the Alexandria database.

Summary:
The energy relative to the elements comes out at -0.43 eV/atom.

Unit cell a=3.8639 b=6.6922 c=8.2879 alpha=90.00 beta=90.00 gamma=90.00
Sites, in units of the cell vectors:
Pa (0.2500, 0.2499, 0.0000)
Pa (0.2500, 0.2501, 0.5000)
Pa (0.7500, 0.7499, 0.5000)
Pa (0.7500, 0.7501, 0.0000)
Be (0.2500, 0.9170, 0.7500)
Be (0.2500, 0.5830, 0.2500)
Be (0.7500, 0.4170, 0.7500)
Be (0.7500, 0.0830, 0.2500)
Ge (0.7500, 0.4165, 0.2500)
Ge (0.7500, 0.0835, 0.7500)
Ge (0.2500, 0.9165, 0.2500)
Ge (0.2500, 0.5835, 0.7500)



Number 1: magnetic moment 0.00 Bohr magnetons per cell. Number 2: magnetic moment 0.00 Bohr magnetons per cell. Number 3: magnetic moment 0.00 Bohr magnetons per cell. Number 4: magnetic moment 10.84 Bohr magnetons per cell. Number 5: magnetic moment 2.00 Bohr magnetons per cell. Number 6: magnetic moment 0.00 Bohr magnetons per cell. Number 7: magnetic moment 0.00 Bohr magnetons per cell. Number 8: magnetic moment 4.52 Bohr magnetons per cell. Number 9: magnetic moment 0.00 Bohr magnetons per cell. Number 10: magnetic moment 0.00 Bohr magnetons per cell. Number 11: magnetic moment 0.00 Bohr magnetons per cell. Number 12: magnetic moment 0.00 Bohr magnetons per cell. Number 13: magnetic moment 0.00 Bohr magnetons per cell. Number 14: magnetic moment 0.00 Bohr magnetons per cell. Number 15: magnetic moment 0.00 Bohr magnetons per cell. Number 16: magnetic moment 2.49 Bohr magnetons per cell. Number 17: magnetic moment 0.00 Bohr magnetons per cell. Number 18: magnetic moment 0.00 Bohr magnetons per cell. Number 19: magnetic moment 0.00 Bohr magnetons per cell. Number 20: magnetic moment 0.00 Bohr magnetons per cell. Number 21: magnetic moment 0.00 Bohr magnetons per cell. Number 22: magnetic moment 1.56 Bohr magnetons per cell. Number 23: magnetic moment 0.90 Bohr magnetons per cell. Number 24: magnetic moment 0.00 Bohr magnetons per cell. Number 25: magnetic moment 0.00 Bohr magnetons per cell.